Below is Zr2ZnHRh after structural relaxation, with properties calculated at the PBE level.

Geometry as CIF:
```
data_Zr2ZnHRh
_chemical_formula_sum 'Zr2 Zn1 H1 Rh1'
_space_group_name_H-M_alt 'P 4/m m m'
_space_group_IT_number 123
_space_group_name_Hall '-P 4 2'
_cell_length_a 4.330
_cell_length_b 4.330
_cell_length_c 3.960
_cell_angle_alpha 90.00
_cell_angle_beta 90.00
_cell_angle_gamma 90.00
loop_
_atom_site_label
_atom_site_type_symbol
_atom_site_fract_x
_atom_site_fract_y
_atom_site_fract_z
Zr1 Zr 0.000 0.500 0.000
Zn1 Zn 0.000 0.000 0.500
H1 H 0.000 0.000 0.000
Rh1 Rh 0.500 0.500 0.500
```

M_tot ... 0.00 Bohr magnetons per cell
DOS(E_F) ... 4.3 states/eV per cell
Energy ... -6.197 eV/atom
Energy above the most stable polymorph in this dataset ... 6.0 kJ per mole of atoms

---

Below is PuTl2P2Pt7 after structural relaxation, with properties calculated at the PBE level.

Geometry as CIF:
```
data_PuTl2P2Pt7
_chemical_formula_sum 'Pu2 Tl4 P4 Pt14'
_space_group_name_H-M_alt 'C 1 2/m 1'
_space_group_IT_number 12
_cell_length_a 5.653
_cell_length_b 5.650
_cell_length_c 15.379
_cell_angle_alpha 90.00
_cell_angle_beta 100.03
_cell_angle_gamma 90.00
loop_
_space_group_symop_operation_xyz
'x,y,z'
'-x,-y,-z'
'-x,y,-z'
'x,-y,z'
'x+1/2,y+1/2,z'
'-x+1/2,-y+1/2,-z'
'-x+1/2,y+1/2,-z'
'x+1/2,-y+1/2,z'
loop_
_atom_site_label
_atom_site_type_symbol
_atom_site_fract_x
_atom_site_fract_y
_atom_site_fract_z
Pu1 Pu 0.000 0.000 0.000
Tl1 Tl 0.205 0.000 0.421
P1 P 0.112 0.500 0.236
Pt1 Pt 0.000 0.500 0.000
Pt2 Pt 0.178 0.250 0.850
Pt3 Pt 0.187 0.500 0.384
```

M_tot ... 9.96 Bohr magnetons per cell
DOS(E_F) ... 38.1 states/eV per cell
Energy ... -6.442 eV/atom
E_form ... -41.3 kJ per mole of atoms

---

Below is Tm7Tl2Te2 after structural relaxation, with properties calculated at the PBE level.

Geometry as CIF:
```
data_Tm7Tl2Te2
_chemical_formula_sum 'Tm14 Tl4 Te4'
_space_group_name_H-M_alt 'I m m 2'
_space_group_IT_number 44
_cell_length_a 4.447
_cell_length_b 14.727
_cell_length_c 9.519
_cell_angle_alpha 90.00
_cell_angle_beta 90.00
_cell_angle_gamma 90.00
loop_
_space_group_symop_operation_xyz
'x,y,z'
'-x,-y,z'
'-x,y,z'
'x,-y,z'
'x+1/2,y+1/2,z+1/2'
'-x+1/2,-y+1/2,z+1/2'
'-x+1/2,y+1/2,z+1/2'
'x+1/2,-y+1/2,z+1/2'
loop_
_atom_site_label
_atom_site_type_symbol
_atom_site_fract_x
_atom_site_fract_y
_atom_site_fract_z
Tm1 Tm 0.000 0.000 0.000
Tm2 Tm 0.000 0.127 0.393
Tm3 Tm 0.000 0.319 0.611
Tm4 Tm 0.000 0.361 0.236
Tl1 Tl 0.000 0.231 0.916
Te1 Te 0.000 0.000 0.650
Te2 Te 0.000 0.500 0.762
```

M_tot ... 0.00 Bohr magnetons per cell
Energy relative to the elements, uncorrected ... -0.565 eV per atom
DOS(E_F) ... 18.8 states/eV per cell
Energy ... -4.411 eV/atom
Energy above the most stable polymorph in this dataset ... 0.0 kJ per mole of atoms

---

Below is Li3Pm2Ni12Rh after structural relaxation, with properties calculated at the PBE level.

Geometry as CIF:
```
data_Li3Pm2Ni12Rh
_chemical_formula_sum 'Li9 Pm6 Ni36 Rh3'
_space_group_name_H-M_alt 'R -3 m'
_space_group_IT_number 166
_space_group_name_Hall '-R 3 2"'
_cell_length_a 5.0619
_cell_length_b 5.0619
_cell_length_c 35.3454
_cell_angle_alpha 90.00
_cell_angle_beta 90.00
_cell_angle_gamma 120.00
loop_
_atom_site_label
_atom_site_type_symbol
_atom_site_fract_x
_atom_site_fract_y
_atom_site_fract_z
Li1 Li 0.0000 0.5000 0.0000
Pm1 Pm 0.0000 0.0000 0.1420
Ni1 Ni 0.0075 0.5038 0.1066
Ni2 Ni 0.0178 0.5089 0.6115
Rh1 Rh 0.0000 0.0000 0.5000
```

M_tot ... 10.56 Bohr magnetons per cell
DOS(E_F) ... 77.0 states/eV per cell
Energy ... -5.020 eV/atom
E_form ... 8.6 kJ per mole of atoms

---

Below is BaPrH6Pd2 after structural relaxation, with properties calculated at the PBE level.

Geometry as CIF:
```
data_BaPrH6Pd2
_chemical_formula_sum 'Ba4 Pr4 H24 Pd8'
_space_group_name_H-M_alt 'C 1 2/c 1'
_space_group_IT_number 15
_cell_length_a 8.368
_cell_length_b 10.335
_cell_length_c 7.035
_cell_angle_alpha 90.00
_cell_angle_beta 114.68
_cell_angle_gamma 90.00
loop_
_space_group_symop_operation_xyz
'x,y,z'
'-x,-y,-z'
'-x,y,-z+1/2'
'x,-y,z+1/2'
'x+1/2,y+1/2,z'
'-x+1/2,-y+1/2,-z'
'-x+1/2,y+1/2,-z+1/2'
'x+1/2,-y+1/2,z+1/2'
loop_
_atom_site_label
_atom_site_type_symbol
_atom_site_fract_x
_atom_site_fract_y
_atom_site_fract_z
Ba1 Ba 0.000 0.157 0.250
Pr1 Pr 0.000 0.412 0.750
H1 H 0.090 0.399 0.121
H2 H 0.168 0.260 0.639
H3 H 0.181 0.046 0.010
Pd1 Pd 0.186 0.145 0.822
```

M_tot ... 0.00 Bohr magnetons per cell
DOS(E_F) ... 12.9 states/eV per cell
Energy ... -4.182 eV/atom

---

Below is Ti3RhCl after structural relaxation, with properties calculated at the PBE level.

Geometry as CIF:
```
data_Ti3RhCl
_chemical_formula_sum 'Ti3 Rh1 Cl1'
_space_group_name_H-M_alt 'P m -3 m'
_space_group_IT_number 221
_space_group_name_Hall '-P 4 2 3'
_cell_length_a 4.818
_cell_length_b 4.818
_cell_length_c 4.818
_cell_angle_alpha 90.00
_cell_angle_beta 90.00
_cell_angle_gamma 90.00
loop_
_atom_site_label
_atom_site_type_symbol
_atom_site_fract_x
_atom_site_fract_y
_atom_site_fract_z
Ti1 Ti 0.000 0.000 0.500
Rh1 Rh 0.000 0.000 0.000
Cl1 Cl 0.500 0.500 0.500
```

M_tot ... 2.12 Bohr magnetons per cell
Energy relative to the elements, uncorrected ... 0.326 eV per atom
DOS(E_F) ... 3.6 states/eV per cell
Energy ... -6.250 eV/atom
Energy above the most stable polymorph in this dataset ... 32.6 kJ per mole of atoms

---

Below is Li3Pr2Cd3 after structural relaxation, with properties calculated at the PBE level.

Geometry as CIF:
```
data_Li3Pr2Cd3
_chemical_formula_sum 'Li6 Pr4 Cd6'
_space_group_name_H-M_alt 'P 63/m c m'
_space_group_IT_number 193
_space_group_name_Hall '-P 6c 2'
_cell_length_a 8.8943
_cell_length_b 8.8943
_cell_length_c 6.5183
_cell_angle_alpha 90.00
_cell_angle_beta 90.00
_cell_angle_gamma 120.00
loop_
_atom_site_label
_atom_site_type_symbol
_atom_site_fract_x
_atom_site_fract_y
_atom_site_fract_z
Li1 Li 0.0000 0.2795 0.2500
Pr1 Pr 0.3333 0.6667 0.0000
Cd1 Cd 0.0000 0.3577 0.7500
```

M_tot ... 0.00 Bohr magnetons per cell
DOS(E_F) ... 12.5 states/eV per cell
Energy ... -2.356 eV/atom
E_form ... -9.7 kJ per mole of atoms

---

Below is YAlFeI2 after structural relaxation, with properties calculated at the PBE level.

Geometry as CIF:
```
data_YAlFeI2
_chemical_formula_sum 'Y1 Al1 Fe1 I2'
_space_group_name_H-M_alt 'P 4/m m m'
_space_group_IT_number 123
_space_group_name_Hall '-P 4 2'
_cell_length_a 5.595
_cell_length_b 5.595
_cell_length_c 4.685
_cell_angle_alpha 90.00
_cell_angle_beta 90.00
_cell_angle_gamma 90.00
loop_
_atom_site_label
_atom_site_type_symbol
_atom_site_fract_x
_atom_site_fract_y
_atom_site_fract_z
Y1 Y 0.000 0.000 0.000
Al1 Al 0.500 0.500 0.500
Fe1 Fe 0.500 0.500 0.000
I1 I 0.000 0.500 0.500
```

M_tot ... 1.65 Bohr magnetons per cell
Energy relative to the elements, uncorrected ... 0.525 eV per atom
DOS(E_F) ... 5.6 states/eV per cell
Energy ... -3.829 eV/atom

---

Below is RbCaP2 after structural relaxation, with properties calculated at the PBE level.

Geometry as CIF:
```
data_RbCaP2
_chemical_formula_sum 'Rb4 Ca4 P8'
_space_group_name_H-M_alt 'I -4 2 d'
_space_group_IT_number 122
_space_group_name_Hall 'I -4 2bw'
_cell_length_a 5.279
_cell_length_b 5.279
_cell_length_c 19.030
_cell_angle_alpha 90.00
_cell_angle_beta 90.00
_cell_angle_gamma 90.00
loop_
_atom_site_label
_atom_site_type_symbol
_atom_site_fract_x
_atom_site_fract_y
_atom_site_fract_z
Rb1 Rb 0.000 0.000 0.000
Ca1 Ca 0.000 0.000 0.500
P1 P 0.041 0.250 0.625
```

M_tot ... 0.00 Bohr magnetons per cell
DOS(E_F) ... 7.9 states/eV per cell
Energy ... -3.669 eV/atom
E_form ... -21.4 kJ per mole of atoms
Energy above the most stable polymorph in this dataset ... 0.0 kJ per mole of atoms

---

Below is GdThCo2 after structural relaxation, with properties calculated at the PBE level.

Geometry as CIF:
```
data_GdThCo2
_chemical_formula_sum 'Gd1 Th1 Co2'
_space_group_name_H-M_alt 'P 4/m m m'
_space_group_IT_number 123
_space_group_name_Hall '-P 4 2'
_cell_length_a 3.432
_cell_length_b 3.432
_cell_length_c 6.810
_cell_angle_alpha 90.00
_cell_angle_beta 90.00
_cell_angle_gamma 90.00
loop_
_atom_site_label
_atom_site_type_symbol
_atom_site_fract_x
_atom_site_fract_y
_atom_site_fract_z
Gd1 Gd 0.000 0.000 0.000
Th1 Th 0.000 0.000 0.500
Co1 Co 0.500 0.500 0.275
```

M_tot ... 6.98 Bohr magnetons per cell
DOS(E_F) ... 3.3 states/eV per cell
Energy ... -9.063 eV/atom
E_form ... -13.0 kJ per mole of atoms
Energy above the most stable polymorph in this dataset ... 3.6 kJ per mole of atoms

---

Below is VCuAg after structural relaxation, with properties calculated at the PBE level.

Geometry as CIF:
```
data_VCuAg
_chemical_formula_sum 'V2 Cu2 Ag2'
_space_group_name_H-M_alt 'I 4 m m'
_space_group_IT_number 107
_space_group_name_Hall 'I 4 -2'
_cell_length_a 2.682
_cell_length_b 2.682
_cell_length_c 12.064
_cell_angle_alpha 90.00
_cell_angle_beta 90.00
_cell_angle_gamma 90.00
loop_
_atom_site_label
_atom_site_type_symbol
_atom_site_fract_x
_atom_site_fract_y
_atom_site_fract_z
V1 V 0.000 0.000 0.000
Cu1 Cu 0.000 0.000 0.648
Ag1 Ag 0.000 0.000 0.319
```

M_tot ... 0.00 Bohr magnetons per cell
DOS(E_F) ... 5.1 states/eV per cell
Energy ... -5.097 eV/atom
E_form ... 25.0 kJ per mole of atoms
Energy above the most stable polymorph in this dataset ... 11.5 kJ per mole of atoms

---

Below is NiRuC after structural relaxation, with properties calculated at the PBE level.

Geometry as CIF:
```
data_NiRuC
_chemical_formula_sum 'Ni4 Ru4 C4'
_space_group_name_H-M_alt 'I 41 m d'
_space_group_IT_number 109
_space_group_name_Hall 'I 4bw -2'
_cell_length_a 2.743
_cell_length_b 2.743
_cell_length_c 16.691
_cell_angle_alpha 90.00
_cell_angle_beta 90.00
_cell_angle_gamma 90.00
loop_
_atom_site_label
_atom_site_type_symbol
_atom_site_fract_x
_atom_site_fract_y
_atom_site_fract_z
Ni1 Ni 0.000 0.000 0.000
Ru1 Ru 0.000 0.000 0.383
C1 C 0.000 0.000 0.834
```

M_tot ... 0.00 Bohr magnetons per cell
DOS(E_F) ... 8.8 states/eV per cell
Energy ... -7.763 eV/atom
E_form ... 31.9 kJ per mole of atoms
Energy above the most stable polymorph in this dataset ... 0.3 kJ per mole of atoms